[1]
{"formula": "Na2Dy2PuS6", "functional": "GGA-PBE", "state": "relaxed", "dft_energy_ev_per_cell": -69.58, "sg": "C2/m", "m_tot_mub_per_cell": 4.00, "lattice_angstrom": [[-4.945, 0.679, -4.754], [3.518, -5.908, 0.477], [-4.065, -0.621, 5.794]], "species": ["S", "S", "S", "S", "S", "S", "Dy", "Dy", "Na", "Na", "Pu"], "fractional_positions": [[0.931, 0.600, 0.280], [0.400, 0.069, 0.720], [0.750, 0.750, 0.719], [0.600, 0.931, 0.280], [0.250, 0.250, 0.281], [0.069, 0.400, 0.720], [0.334, 0.666, 0.500], [0.666, 0.334, 0.500], [0.168, 0.832, 0.000], [0.832, 0.168, 0.000], [0.000, 0.000, 0.500]]}

[2]
{"formula": "PmIn2Ag", "functional": "GGA-PBE", "state": "relaxed", "polymorph_energy_ev_per_atom": 0.098, "dft_energy_ev_per_cell": -14.30, "sg": "R-3m", "formation_enthalpy_0k_ev_per_atom": -0.305, "m_tot_mub_per_cell": 0.00, "lattice_angstrom": [[-4.489, 1.198, 0.971], [-3.480, -3.178, -0.566], [-2.013, -2.241, 5.057]], "species": ["In", "In", "Pm", "Ag"], "fractional_positions": [[0.224, 0.224, 0.328], [0.776, 0.776, 0.672], [0.000, 0.000, 0.000], [0.500, 0.500, 0.500]]}

[3]
{"formula": "AlV3S", "functional": "GGA-PBE", "state": "relaxed", "polymorph_energy_ev_per_atom": 0.000, "dft_energy_ev_per_cell": -35.35, "sg": "Pm-3m", "m_tot_mub_per_cell": 2.27, "lattice_angstrom": [[-3.031, 2.467, 1.747], [-0.572, -2.897, 3.099], [2.969, 1.961, 2.381]], "species": ["V", "V", "V", "Al", "S"], "fractional_positions": [[0.000, 0.500, 0.000], [0.000, 0.000, 0.500], [0.500, 0.000, 0.000], [0.500, 0.500, 0.500], [0.000, 0.000, 0.000]]}